Pm4SmY7 after structural relaxation, computed with PBE.

It has space group C2/m (No. 12), with a = 12.194 Å, b = 5.924 Å, c = 12.877 Å, α = 90.00°, β = 117.56° and γ = 90.00°. Symmetry generates all atoms from Pm at (0.139, 0.000, 0.276), Pm at (0.224, 0.500, 0.168), Sm at (0.000, 0.500, 0.500), Y at (0.000, 0.000, 0.500), Y at (0.069, 0.500, 0.813), Y at (0.133, 0.000, 0.996) and Y at (0.211, 0.500, 0.423).

For the distance to the lowest polymorph of the same formula, the calculation gives 0.185 eV per atom. Its crystal system is monoclinic. Its energy of formation from the pure elements is 266.3 meV per atom. As for the total energy: -5.481 eV/atom. The calculation puts the mass density at 5.45 g/cm³.